{"formula": "ZrPdW", "functional": "PBE", "state": "relaxed", "de_polymorph_ev_per_fu": 0.000, "final_energy_ev_per_cell": -51.5, "space_group": "R-3m (166)", "magnetic_moment_mub_per_cell": 0.04, "ef_ev_per_atom": 0.318, "cell": [[2.289, 1.322, 6.418], [-2.289, 1.322, 6.418], [0.000, -2.643, 6.418]], "species": ["Zr", "Zr", "Pd", "Pd", "W", "W"], "fractional_positions": [[0.208, 0.208, 0.208], [0.792, 0.792, 0.792], [0.366, 0.366, 0.366], [0.634, 0.634, 0.634], [0.064, 0.064, 0.064], [0.936, 0.936, 0.936]]}

{"formula": "Lu2ZnIr", "functional": "PBE", "state": "relaxed", "de_polymorph_ev_per_fu": 0.000, "final_energy_ev_per_cell": -42.1, "space_group": "P6_3/mmc (194)", "magnetic_moment_mub_per_cell": 0.01, "ef_ev_per_atom": -0.474, "cell": [[4.609, 0.000, 0.000], [-2.304, 3.991, 0.000], [0.000, 0.000, 8.973]], "species": ["Lu", "Lu", "Lu", "Lu", "Zn", "Zn", "Ir", "Ir"], "fractional_positions": [[0.333, 0.667, 0.091], [0.333, 0.667, 0.409], [0.667, 0.333, 0.591], [0.667, 0.333, 0.909], [0.000, 0.000, 0.250], [0.000, 0.000, 0.750], [0.333, 0.667, 0.750], [0.667, 0.333, 0.250]]}

{"formula": "PrDyCd2Cu4", "functional": "PBE", "state": "relaxed", "final_energy_ev_per_cell": -27.5, "space_group": "P4/mmm (123)", "magnetic_moment_mub_per_cell": 0.04, "ef_ev_per_atom": -0.183, "cell": [[4.747, 0.000, 0.000], [0.000, 4.747, 0.000], [0.000, 0.000, 6.709]], "species": ["Pr", "Dy", "Cd", "Cd", "Cu", "Cu", "Cu", "Cu"], "fractional_positions": [[0.000, 0.000, 0.000], [0.500, 0.500, 0.500], [0.000, 0.000, 0.500], [0.500, 0.500, 0.000], [0.000, 0.500, 0.263], [0.000, 0.500, 0.737], [0.500, 0.000, 0.263], [0.500, 0.000, 0.737]]}